# 1
# RbMg2Tl9

RbMg2Tl9 after structural relaxation (GGA-PBE, Alexandria).

Cell lengths 10.7842, 10.7842, 3.6697 Å; angles 90.00, 90.00, 120.00 degrees
With the nearest neighbours (Å) after each atom.
Element x y z (fractional)
Rb (0.0000, 0.0000, 0.0000)  2 Rb 3.67, 12 Tl 3.96
Mg (0.3333, 0.6667, 0.0000)  9 Tl 3.11-3.28
Mg (0.6667, 0.3333, 0.0000)  9 Tl 3.11-3.28
Tl (0.0000, 0.5000, 0.0000)  2 Mg 3.11, 8 Tl 3.46
Tl (0.1876, 0.3752, 0.5000)  2 Mg 3.28, 8 Tl 3.46-3.67
Tl (0.1876, 0.8124, 0.5000)  2 Mg 3.28, 8 Tl 3.46-3.67
Tl (0.3752, 0.1876, 0.5000)  2 Mg 3.28, 8 Tl 3.46-3.67
Tl (0.5000, 0.0000, 0.0000)  2 Mg 3.11, 8 Tl 3.46
Tl (0.5000, 0.5000, 0.0000)  2 Mg 3.11, 8 Tl 3.46
Tl (0.6248, 0.8124, 0.5000)  2 Mg 3.28, 8 Tl 3.46-3.67
Tl (0.8124, 0.1876, 0.5000)  2 Mg 3.28, 8 Tl 3.46-3.67
Tl (0.8124, 0.6248, 0.5000)  2 Mg 3.28, 8 Tl 3.46-3.67

Values from the calculation:
Space group: No. 191
E_form in eV/atom: -0.03

=====

# 2
# NaPmDyCd

NaPmDyCd after structural relaxation (GGA-PBE, Alexandria).

Cell lengths 5.4554, 5.4554, 5.4554 Å; angles 60.00, 60.00, 60.00 degrees
With the nearest neighbours (Å) after each atom.
Element x y z (fractional)
Na (0.0000, 0.0000, 0.0000)  4 Dy 3.34, 4 Pm 3.34
Pm (0.2500, 0.2500, 0.2500)  4 Cd 3.34, 4 Na 3.34
Dy (0.7500, 0.7500, 0.7500)  4 Na 3.34, 4 Cd 3.34
Cd (0.5000, 0.5000, 0.5000)  4 Dy 3.34, 4 Pm 3.34

Values from the calculation:
Space group: No. 216
E_form in eV/atom: 0.03

=====

# 3
# Y2SbCl

Y2SbCl after structural relaxation (GGA-PBE, Alexandria).

Cell lengths 5.2230, 5.2230, 5.2230 Å; angles 60.00, 60.00, 60.00 degrees
With the nearest neighbours (Å) after each atom.
Element x y z (fractional)
Y (0.2500, 0.2500, 0.2500)  4 Cl 3.20, 4 Sb 3.20
Y (0.7500, 0.7500, 0.7500)  4 Cl 3.20, 4 Sb 3.20
Sb (0.0000, 0.0000, 0.0000)  8 Y 3.20
Cl (0.5000, 0.5000, 0.5000)  8 Y 3.20

Values from the calculation:
Space group: No. 225
Energy relative to the elements, uncorrected in eV per atom: -1.098
E above lowest polymorph in eV/atom: 0.062